Entry from Alexandria: crystalline Cs3CdAu4 at its relaxed geometry (PBE).

Calculated values
For the density of states at the Fermi level, the calculation gives 0.42 states/eV/atom. Its space group is Immm (71). The calculation puts the calculated total energy at -2.31 eV/atom.

Unit cell a=5.5149 b=7.0826 c=9.5795 alpha=111.70 beta=106.73 gamma=90.00
With the nearest neighbours (Å) after each atom.
Fractional positions:
Cs (0.1877, 0.1877, 0.3754)  6 Au 3.75-3.76
Cs (0.8123, 0.8123, 0.6246)  6 Au 3.75-3.76
Cs (0.0000, 0.5000, 0.0000)  8 Au 3.57
Cd (0.5000, 0.0000, 0.0000)  4 Au 2.80
Au (0.3938, 0.5900, 0.7876)  1 Au 2.78, 1 Cd 2.80
Au (0.6062, 0.4100, 0.2124)  1 Au 2.78, 1 Cd 2.80
Au (0.6062, 0.8025, 0.2124)  1 Au 2.78, 1 Cd 2.80
Au (0.3938, 0.1975, 0.7876)  1 Au 2.78, 1 Cd 2.80

---

Entry from Alexandria: crystalline CsCd6Au at its relaxed geometry (PBE).

Calculated values
For the density of states at the Fermi level, the calculation gives 0.36 states/eV/atom. Its space group is P4/mmm (123). The calculation puts the calculated total energy at -1.28 eV/atom.

Unit cell a=4.9002 b=4.9002 c=9.6722 alpha=90.00 beta=90.00 gamma=90.00
With the nearest neighbours (Å) after each atom.
Fractional positions:
Cs (0.0000, 0.0000, 0.0000)  16 Cd 3.78-4.10
Cd (0.5000, 0.0000, 0.6605)  2 Au 2.90, 3 Cd 3.03-3.10
Cd (0.0000, 0.5000, 0.6605)  2 Au 2.90, 3 Cd 3.03-3.10
Cd (0.5000, 0.5000, 0.1557)  5 Cd 3.01-3.03
Cd (0.5000, 0.5000, 0.8443)  5 Cd 3.01-3.03
Cd (0.0000, 0.5000, 0.3395)  2 Au 2.90, 3 Cd 3.03-3.10
Cd (0.5000, 0.0000, 0.3395)  2 Au 2.90, 3 Cd 3.03-3.10
Au (0.0000, 0.0000, 0.5000)  8 Cd 2.90

---

Entry from Alexandria: crystalline Cs2CdAu at its relaxed geometry (PBE).

Calculated values
Its energy above the most stable polymorph in this dataset is 151.2 meV/atom. For the density of states at the Fermi level, the calculation gives 0.88 states/eV/atom. Its space group is I-42d (122).

Unit cell a=10.1847 b=10.1847 c=8.2707 alpha=52.00 beta=52.00 gamma=90.00
With the nearest neighbours (Å) after each atom.
Fractional positions:
Cs (0.6644, 0.1250, 0.2500)  2 Au 3.48
Cs (0.0856, 0.6250, 0.2500)  2 Au 3.48
Cs (0.3750, 0.3356, 0.7500)  2 Au 3.48
Cs (0.8750, 0.9144, 0.7500)  2 Au 3.48
Au (0.0000, 0.0000, 0.0000)  4 Cs 3.48
Au (0.7500, 0.2500, 0.5000)  4 Cs 3.48
Cd (0.5000, 0.5000, 0.0000)  4 Cs 4.03, 2 Au 4.07
Cd (0.2500, 0.7500, 0.5000)  4 Cs 4.03, 2 Au 4.07

---

Entry from Alexandria: crystalline Cs3Cd2Au4 at its relaxed geometry (PBE).

Calculated values
Its energy above the most stable polymorph in this dataset is 4.2 meV/atom. For the density of states at the Fermi level, the calculation gives 0.30 states/eV/atom. Its space group is C2/m (12).

Unit cell a=4.8775 b=7.2162 c=9.9716 alpha=96.69 beta=90.00 gamma=109.75
With the nearest neighbours (Å) after each atom.
Fractional positions:
Cs (0.6600, 0.3201, 0.6764)  8 Au 3.76-3.95, 4 Cd 3.86-3.91
Cs (0.0000, 0.0000, 0.0000)  8 Au 3.86-3.91, 4 Cd 3.91
Cs (0.3400, 0.6799, 0.3236)  8 Au 3.76-3.95, 4 Cd 3.86-3.91
Cd (0.6183, 0.2366, 0.2815)  3 Au 2.81-2.84
Cd (0.3817, 0.7634, 0.7185)  3 Au 2.81-2.84
Au (0.7218, 0.4436, 0.0548)  1 Cd 2.81, 2 Au 2.82
Au (0.2782, 0.5564, 0.9452)  1 Cd 2.81, 2 Au 2.82
Au (0.9401, 0.8801, 0.6060)  1 Au 2.82, 2 Cd 2.84
Au (0.0599, 0.1199, 0.3940)  1 Au 2.82, 2 Cd 2.84

---

Entry from Alexandria: crystalline Cs2CdAu at its relaxed geometry (PBE).

Calculated values
Its energy above the most stable polymorph in this dataset is 80.1 meV/atom. For the density of states at the Fermi level, the calculation gives 0.81 states/eV/atom. Its space group is R3m (160).

Unit cell a=5.1475 b=5.1475 c=10.0934 alpha=75.23 beta=75.23 gamma=60.00
With the nearest neighbours (Å) after each atom.
Fractional positions:
Cs (0.0711, 0.0711, 0.7868)  3 Au 3.63
Cs (0.2621, 0.2621, 0.2138)  3 Au 3.61, 3 Cd 4.04
Cd (0.5010, 0.5010, 0.4971)  6 Cs 4.04-4.08
Au (0.6659, 0.6659, 0.0023)  6 Cs 3.61-3.63

---

Entry from Alexandria: crystalline Cs2CdAu at its relaxed geometry (PBE).

Calculated values
Its energy above the most stable polymorph in this dataset is 0.0 meV/atom. For the density of states at the Fermi level, the calculation gives 0.39 states/eV/atom. Its space group is C2/c (15).

Unit cell a=5.4906 b=11.7723 c=7.3323 alpha=113.68 beta=111.99 gamma=90.00
With the nearest neighbours (Å) after each atom.
Fractional positions:
Cs (0.1658, 0.5834, 0.3334)  2 Au 3.58
Cs (0.8342, 0.4166, 0.6666)  2 Au 3.58
Cs (0.1676, 0.0834, 0.3334)  2 Au 3.58
Cs (0.8324, 0.9166, 0.6666)  2 Au 3.58
Cd (0.4944, 0.2500, 0.0000)  2 Au 2.74-2.75
Cd (0.5056, 0.7500, 0.0000)  2 Au 2.74-2.75
Au (0.0057, 0.7500, 0.0000)  2 Cd 2.74-2.75
Au (0.9943, 0.2500, 0.0000)  2 Cd 2.74-2.75

---

Entry from Alexandria: crystalline Cs2Cd2Au3 at its relaxed geometry (PBE).

Calculated values
Its energy above the most stable polymorph in this dataset is 41.0 meV/atom. For the density of states at the Fermi level, the calculation gives 0.19 states/eV/atom. Its space group is C2/m (12).

Unit cell a=5.0819 b=6.8551 c=7.9064 alpha=121.92 beta=90.00 gamma=111.76
With the nearest neighbours (Å) after each atom.
Fractional positions:
Cs (0.8312, 0.6623, 0.2118)  5 Au 3.54-3.63, 4 Cd 3.64-3.85, 2 Cs 3.75
Cs (0.1688, 0.3377, 0.7882)  5 Au 3.54-3.63, 4 Cd 3.64-3.85, 2 Cs 3.75
Cd (0.8622, 0.7244, 0.7250)  5 Au 3.01-3.15
Cd (0.1378, 0.2756, 0.2750)  5 Au 3.01-3.15
Au (0.5000, 0.0000, 0.0000)  2 Au 2.83, 4 Cd 3.15
Au (0.5777, 0.1553, 0.4138)  2 Au 2.83-2.97, 3 Cd 3.01-3.03
Au (0.4223, 0.8447, 0.5862)  2 Au 2.83-2.97, 3 Cd 3.01-3.03

---

Entry from Alexandria: crystalline Cs3Cd5Au6 at its relaxed geometry (PBE).

Calculated values
For the density of states at the Fermi level, the calculation gives 0.18 states/eV/atom. Its space group is Pmmn (59). The calculation puts the calculated total energy at -2.09 eV/atom.

Unit cell a=4.9908 b=11.8871 c=14.5143 alpha=90.00 beta=90.00 gamma=90.00
With the nearest neighbours (Å) after each atom.
Fractional positions:
Cs (0.0000, 0.2533, 0.6487)  7 Au 3.68-4.11, 6 Cd 3.85-3.95
Cs (0.5000, 0.7467, 0.1487)  7 Au 3.68-4.11, 6 Cd 3.85-3.95
Cs (0.5000, 0.7467, 0.8513)  7 Au 3.68-4.11, 6 Cd 3.85-3.95
Cs (0.0000, 0.2538, 0.0000)  7 Cd 3.62-3.86, 10 Au 3.68-3.89
Cs (0.5000, 0.7462, 0.5000)  7 Cd 3.62-3.86, 10 Au 3.68-3.89
Cs (0.0000, 0.2533, 0.3513)  7 Au 3.68-4.11, 6 Cd 3.85-3.95
Cd (0.0000, 0.4987, 0.8515)  3 Au 2.90-2.93
Cd (0.0000, 0.8570, 0.6704)  5 Au 2.81-2.91
Cd (0.0000, 0.9289, 0.0000)  4 Au 2.75-2.90
Cd (0.5000, 0.5013, 0.6485)  3 Au 2.90-2.93
Cd (0.5000, 0.0711, 0.5000)  4 Au 2.75-2.90
Cd (0.0000, 0.4987, 0.1485)  3 Au 2.90-2.93
Cd (0.5000, 0.5013, 0.3515)  3 Au 2.90-2.93
Cd (0.0000, 0.8570, 0.3296)  5 Au 2.81-2.91
Cd (0.5000, 0.1430, 0.8296)  5 Au 2.81-2.91
Cd (0.5000, 0.1430, 0.1704)  5 Au 2.81-2.91
Au (0.0000, 0.0180, 0.8137)  4 Cd 2.83-2.91, 2 Au 3.13
Au (0.5000, 0.9820, 0.6863)  4 Cd 2.83-2.91, 2 Au 3.13
Au (0.5000, 0.3795, 0.8240)  4 Cd 2.81-2.93, 1 Au 2.85
Au (0.5000, 0.4850, 0.0000)  2 Au 2.85
Au (0.0000, 0.5150, 0.5000)  2 Au 2.85
Au (0.0000, 0.6205, 0.6760)  4 Cd 2.81-2.93, 1 Au 2.85
Au (0.0000, 0.6205, 0.3240)  4 Cd 2.81-2.93, 1 Au 2.85
Au (0.5000, 0.0259, 0.0000)  4 Cd 2.75-2.84
Au (0.0000, 0.0180, 0.1863)  4 Cd 2.83-2.91, 2 Au 3.13
Au (0.5000, 0.3795, 0.1760)  4 Cd 2.81-2.93, 1 Au 2.85
Au (0.0000, 0.9741, 0.5000)  4 Cd 2.75-2.84
Au (0.5000, 0.9820, 0.3137)  4 Cd 2.83-2.91, 2 Au 3.13

---

Entry from Alexandria: crystalline Cs2Cd3Au at its relaxed geometry (PBE).

Calculated values
Its energy above the most stable polymorph in this dataset is 172.6 meV/atom. For the density of states at the Fermi level, the calculation gives 0.78 states/eV/atom. Its space group is Immm (71).

Unit cell a=4.9843 b=6.4825 c=8.6064 alpha=112.12 beta=106.83 gamma=90.00
With the nearest neighbours (Å) after each atom.
Fractional positions:
Cs (0.7067, 0.2067, 0.4134)  6 Cd 3.65-4.00
Cs (0.2933, 0.7933, 0.5866)  6 Cd 3.65-4.00
Cd (0.4041, 0.4041, 0.8081)  2 Au 2.88, 1 Cd 2.91
Cd (0.0000, 0.0000, 0.0000)  2 Au 3.24
Cd (0.5959, 0.5959, 0.1919)  2 Au 2.88, 1 Cd 2.91
Au (0.0000, 0.5000, 0.0000)  4 Cd 2.88

---

Entry from Alexandria: crystalline Cs2Cd5Au4 at its relaxed geometry (PBE).

Calculated values
Its energy above the most stable polymorph in this dataset is 39.1 meV/atom. For the density of states at the Fermi level, the calculation gives 0.27 states/eV/atom. Its space group is C2/m (12).

Unit cell a=6.3708 b=7.9448 c=8.2273 alpha=72.58 beta=67.22 gamma=66.36
With the nearest neighbours (Å) after each atom.
Fractional positions:
Cs (0.2782, 0.8077, 0.6360)  5 Au 3.57-3.84, 2 Cd 3.98
Cs (0.7218, 0.1923, 0.3640)  5 Au 3.57-3.84, 2 Cd 3.98
Cd (0.1817, 0.2615, 0.8770)  4 Au 2.77-3.03
Cd (0.8183, 0.7385, 0.1230)  4 Au 2.77-3.03
Cd (0.0000, 0.5000, 0.5000)  2 Au 2.82
Cd (0.6799, 0.2615, 0.8770)  4 Au 2.77-3.03
Cd (0.3201, 0.7385, 0.1230)  4 Au 2.77-3.03
Au (0.3872, 0.0426, 0.1831)  2 Au 2.74-2.95, 4 Cd 2.82-3.03
Au (0.6128, 0.9574, 0.8169)  2 Au 2.74-2.95, 4 Cd 2.82-3.03
Au (0.7857, 0.5762, 0.8525)  1 Au 2.74, 5 Cd 2.77-2.99
Au (0.2143, 0.4238, 0.1475)  1 Au 2.74, 5 Cd 2.77-2.99

---

Entry from Alexandria: crystalline CsCd6Au4 at its relaxed geometry (PBE).

Calculated values
For the density of states at the Fermi level, the calculation gives 0.52 states/eV/atom. Its space group is P-6m2 (187). The calculation puts the calculated total energy at -1.95 eV/atom.

Unit cell a=4.6291 b=8.1682 c=8.1682 alpha=120.00 beta=90.00 gamma=90.00
With the nearest neighbours (Å) after each atom.
Fractional positions:
Cs (0.0000, 0.0000, 0.0000)  12 Cd 3.69-4.11, 6 Au 3.74
Cd (0.0000, 0.5349, 0.0698)  5 Au 2.85-2.95
Cd (0.5000, 0.5939, 0.7970)  4 Au 2.91-2.96, 2 Cd 3.19
Cd (0.0000, 0.5349, 0.4651)  5 Au 2.85-2.95
Cd (0.0000, 0.9302, 0.4651)  5 Au 2.85-2.95
Cd (0.5000, 0.2030, 0.7970)  4 Au 2.91-2.96, 2 Cd 3.19
Cd (0.5000, 0.2030, 0.4061)  4 Au 2.91-2.96, 2 Cd 3.19
Au (0.5000, 0.7921, 0.5843)  6 Cd 2.91-2.95, 2 Au 3.07
Au (0.5000, 0.4157, 0.2079)  6 Cd 2.91-2.95, 2 Au 3.07
Au (0.5000, 0.7921, 0.2079)  6 Cd 2.91-2.95, 2 Au 3.07
Au (0.0000, 0.3333, 0.6667)  9 Cd 2.85-2.96

---

Entry from Alexandria: crystalline Cs4Cd2Au at its relaxed geometry (PBE).

Calculated values
For the density of states at the Fermi level, the calculation gives 0.83 states/eV/atom. Its space group is I4/mmm (139). The calculation puts the calculated total energy at -1.28 eV/atom.

Unit cell a=7.2394 b=7.2394 c=10.3624 alpha=110.45 beta=110.45 gamma=90.00
With the nearest neighbours (Å) after each atom.
Fractional positions:
Cs (0.8043, 0.8043, 0.6086)  1 Au 3.53
Cs (0.1957, 0.1957, 0.3914)  1 Au 3.53
Cs (0.0000, 0.5000, 0.0000)  2 Au 3.62, 4 Cd 3.93
Cs (0.5000, 0.0000, 0.0000)  2 Au 3.62, 4 Cd 3.93
Au (0.0000, 0.0000, 0.0000)  6 Cs 3.53-3.62
Cd (0.5850, 0.5850, 0.1700)  1 Cd 3.06
Cd (0.4150, 0.4150, 0.8300)  1 Cd 3.06